YPbSeF2 | PBE | optimized geometry

a = 4.4209 Å, b = 4.4209 Å, c = 5.8975 Å
α = 90.00°, β = 90.00°, γ = 90.00°
Fractional positions:
Y  0.0000  0.0000  0.0000
Pb  0.5000  0.5000  0.5000
Se  0.0000  0.0000  0.5000
F  0.0000  0.5000  0.0000
F  0.5000  0.0000  0.0000

Summary:
theoretical density = 5.95 g/cm3
uncorrected energy = -5.8605 eV/atom
formation energy from raw total energies = -2.38 eV per atom
crystal system = tetragonal